The following is a SCAN calculation of a PBEsol-optimized structure of YNbCu2O, from Alexandria.

```
5
Lattice="4.479 0.000 0.000 0.000 4.479 0.000 0.000 0.000 5.668" Properties=species:S:1:pos:R:3 pbc="T T T"
Y 0.000 0.000 0.000
Nb 0.000 0.000 2.834
Cu 0.000 2.240 2.834
Cu 2.240 0.000 2.834
O 2.240 2.240 0.000
```

Summary:
As for the uncorrected formation energy: 1.230 eV per atom.